First-principles (meta-GGA SCAN) data for a PBEsol-optimized structure of Al2FeBr, as listed in Alexandria via LeMat-Bulk.

POSCAR file:
```
Al2FeBr
1.0
5.251 -1.474 0.000
5.251 1.474 0.000
-0.954 0.000 4.386
Al Fe Br
2 1 1
Cartesian
1.968 0.000 0.993 Al
7.579 0.000 3.392 Al
5.251 0.000 0.000 Fe
-0.477 0.000 2.193 Br
```

Results
E_form (uncorrected) = 0.3537 eV per atom
E_tot = -12.9195 eV per atom
N(E_F) = 0.477 states/eV/atom


First-principles (meta-GGA SCAN) data for a PBEsol-optimized structure of Ta2BePt, as listed in Alexandria via LeMat-Bulk.

POSCAR file:
```
Ta2BePt
1.0
-1.869 1.869 4.320
1.869 -1.869 4.320
1.869 1.869 -4.320
Ta Be Pt
2 1 1
Cartesian
0.000 0.000 0.000 Ta
0.000 1.869 2.160 Ta
0.000 0.000 4.320 Be
1.869 0.000 2.160 Pt
```

Results
E_tot = -52.1817 eV per atom
N(E_F) = 0.695 states/eV/atom
energy of formation from the pure elements = -24 kJ per mole of atoms


First-principles (meta-GGA SCAN) data for a PBEsol-optimized structure of BP3Ir, as listed in Alexandria via LeMat-Bulk.

POSCAR file:
```
BP3Ir
1.0
3.962 0.000 0.000
0.000 3.962 0.000
0.000 0.000 3.962
B P Ir
1 3 1
Cartesian
0.000 0.000 0.000 B
0.000 0.000 1.981 P
0.000 1.981 0.000 P
1.981 0.000 0.000 P
1.981 1.981 1.981 Ir
```

Results
E_tot = -21.0434 eV per atom
N(E_F) = 0.371 states/eV/atom
energy of formation from the pure elements = 87 kJ per mole of atoms


First-principles (meta-GGA SCAN) data for a PBEsol-optimized structure of Ni3HAu, as listed in Alexandria via LeMat-Bulk.

POSCAR file:
```
Ni3HAu
1.0
3.677 0.000 0.000
0.000 3.677 0.000
0.000 0.000 3.677
Ni H Au
3 1 1
Cartesian
0.000 0.000 1.838 Ni
0.000 1.838 0.000 Ni
1.838 0.000 0.000 Ni
0.000 0.000 0.000 H
1.838 1.838 1.838 Au
```

Results
E_tot = -24.1878 eV per atom
N(E_F) = 0.965 states/eV/atom


First-principles (meta-GGA SCAN) data for a PBEsol-optimized structure of Al2ReHg2, as listed in Alexandria via LeMat-Bulk.

POSCAR file:
```
Al2ReHg2
1.0
-1.815 1.815 7.343
1.815 -1.815 7.343
1.815 1.815 -7.343
Al Re Hg
2 1 2
Cartesian
0.000 0.000 1.236 Al
0.000 0.000 13.451 Al
0.000 0.000 7.343 Re
1.815 0.000 3.672 Hg
0.000 1.815 3.672 Hg
```

Results
E_tot = -43.8084 eV per atom
N(E_F) = 0.544 states/eV/atom
energy of formation from the pure elements = 75 kJ per mole of atoms


First-principles (meta-GGA SCAN) data for a PBEsol-optimized structure of K2ReMo, as listed in Alexandria via LeMat-Bulk.

POSCAR file:
```
K2ReMo
1.0
1.384 0.799 12.132
-1.384 0.799 12.132
0.000 -1.598 12.132
K Re Mo
2 1 1
Cartesian
0.000 0.000 9.001 K
0.000 0.000 27.396 K
0.000 0.000 18.199 Re
0.000 0.000 0.000 Mo
```

Results
E_tot = -29.2200 eV per atom
N(E_F) = 0.666 states/eV/atom
energy of formation from the pure elements = 139 kJ per mole of atoms


First-principles (meta-GGA SCAN) data for a PBEsol-optimized structure of MgSiNi3, as listed in Alexandria via LeMat-Bulk.

POSCAR file:
```
MgSiNi3
1.0
4.171 0.000 0.000
0.000 4.171 0.000
0.000 0.000 4.171
Mg Si Ni
1 1 3
Cartesian
0.000 0.000 0.000 Mg
2.085 2.085 2.085 Si
0.000 0.000 2.085 Ni
0.000 2.085 0.000 Ni
2.085 0.000 0.000 Ni
```

Results
E_form (uncorrected) = 1.3247 eV per atom
E_tot = -11.3772 eV per atom
N(E_F) = 0.902 states/eV/atom


First-principles (meta-GGA SCAN) data for a PBEsol-optimized structure of TaCrPt2, as listed in Alexandria via LeMat-Bulk.

POSCAR file:
```
TaCrPt2
1.0
1.379 0.796 8.922
-1.379 0.796 8.922
0.000 -1.593 8.922
Ta Cr Pt
1 1 2
Cartesian
0.000 0.000 0.000 Ta
0.000 0.000 13.383 Cr
0.000 0.000 6.564 Pt
0.000 0.000 20.203 Pt
```

Results
E_tot = -56.6073 eV per atom
N(E_F) = 0.695 states/eV/atom
energy of formation from the pure elements = -26 kJ per mole of atoms


First-principles (meta-GGA SCAN) data for a PBEsol-optimized structure of SrMgTl2, as listed in Alexandria via LeMat-Bulk.

POSCAR file:
```
SrMgTl2
1.0
5.127 0.000 0.000
0.000 5.127 0.000
0.000 0.000 4.297
Sr Mg Tl
1 1 2
Cartesian
0.000 0.000 0.000 Sr
2.564 2.564 0.000 Mg
0.000 2.564 2.148 Tl
2.564 0.000 2.148 Tl
```

Results
E_tot = -43.3283 eV per atom
N(E_F) = 0.569 states/eV/atom
energy of formation from the pure elements = -33 kJ per mole of atoms


First-principles (meta-GGA SCAN) data for a PBEsol-optimized structure of CdSi, as listed in Alexandria via LeMat-Bulk.

POSCAR file:
```
CdSi
1.0
3.367 0.000 0.000
0.000 3.367 0.000
0.000 0.000 3.367
Cd Si
1 1
Cartesian
0.000 0.000 0.000 Cd
1.684 1.684 1.684 Si
```

Results
E_form (uncorrected) = 0.6746 eV per atom
E_tot = -19.5405 eV per atom
N(E_F) = 0.327 states/eV/atom


First-principles (meta-GGA SCAN) data for a PBEsol-optimized structure of Ca2TeBr, as listed in Alexandria via LeMat-Bulk.

POSCAR file:
```
Ca2TeBr
1.0
3.937 0.000 0.000
0.000 3.978 0.000
-0.571 0.000 7.604
Ca Te Br
2 1 1
Cartesian
0.017 0.000 1.718 Ca
3.349 0.000 5.886 Ca
1.968 1.989 0.000 Te
-0.285 1.989 3.802 Br
```

Results
E_form (uncorrected) = -1.4474 eV per atom
E_tot = -20.4567 eV per atom
N(E_F) = 0.571 states/eV/atom


First-principles (meta-GGA SCAN) data for a PBEsol-optimized structure of RhW2I, as listed in Alexandria via LeMat-Bulk.

POSCAR file:
```
RhW2I
1.0
0.000 3.193 3.193
3.193 0.000 3.193
3.193 3.193 0.000
Rh W I
1 2 1
Cartesian
0.000 0.000 0.000 Rh
1.597 1.597 1.597 W
4.790 4.790 4.790 W
3.193 3.193 3.193 I
```

Results
E_form (uncorrected) = 1.0963 eV per atom
E_tot = -51.3760 eV per atom
N(E_F) = 0.850 states/eV/atom


First-principles (meta-GGA SCAN) data for a PBEsol-optimized structure of La3WI, as listed in Alexandria via LeMat-Bulk.

POSCAR file:
```
La3WI
1.0
5.540 0.000 0.000
0.000 5.540 0.000
0.000 0.000 5.540
La W I
3 1 1
Cartesian
0.000 0.000 2.770 La
0.000 2.770 0.000 La
2.770 0.000 0.000 La
0.000 0.000 0.000 W
2.770 2.770 2.770 I
```

Results
E_form (uncorrected) = 0.0806 eV per atom
E_tot = -47.0684 eV per atom
N(E_F) = 1.064 states/eV/atom


First-principles (meta-GGA SCAN) data for a PBEsol-optimized structure of MnBe4Rh, as listed in Alexandria via LeMat-Bulk.

POSCAR file:
```
MnBe4Rh
1.0
0.000 3.011 3.011
3.011 0.000 3.011
3.011 3.011 0.000
Mn Be Rh
1 4 1
Cartesian
0.000 0.000 0.000 Mn
3.768 2.255 2.255 Be
2.255 3.768 2.255 Be
2.255 2.255 3.768 Be
3.768 3.768 3.768 Be
1.506 1.506 1.506 Rh
```

Results
E_tot = -12.1221 eV per atom
N(E_F) = 0.295 states/eV/atom
energy of formation from the pure elements = -53 kJ per mole of atoms


First-principles (meta-GGA SCAN) data for a PBEsol-optimized structure of Li2ScAu2, as listed in Alexandria via LeMat-Bulk.

POSCAR file:
```
Li2ScAu2
1.0
7.228 0.000 0.000
0.000 7.228 0.000
0.000 0.000 3.004
Li Sc Au
4 2 4
Cartesian
0.810 2.804 0.000 Li
2.804 6.418 0.000 Li
4.424 0.810 0.000 Li
6.418 4.424 0.000 Li
0.000 0.000 0.000 Sc
3.614 3.614 0.000 Sc
1.357 4.970 1.502 Au
2.257 1.357 1.502 Au
4.970 5.871 1.502 Au
5.871 2.257 1.502 Au
```

Results
E_tot = -32.1407 eV per atom
N(E_F) = 0.442 states/eV/atom
energy of formation from the pure elements = -65 kJ per mole of atoms


First-principles (meta-GGA SCAN) data for a PBEsol-optimized structure of Mo2Br3, as listed in Alexandria via LeMat-Bulk.

POSCAR file:
```
Mo2Br3
1.0
4.482 0.000 0.000
-2.241 3.881 0.000
0.000 0.000 8.067
Mo Br
2 3
Cartesian
0.000 2.588 0.283 Mo
2.241 1.294 7.784 Mo
0.000 0.000 0.000 Br
0.000 2.588 2.697 Br
2.241 1.294 5.370 Br
```

Results
E_form (uncorrected) = 0.2924 eV per atom
E_tot = -25.3373 eV per atom
N(E_F) = 0.433 states/eV/atom


First-principles (meta-GGA SCAN) data for a PBEsol-optimized structure of CaFeIr2, as listed in Alexandria via LeMat-Bulk.

POSCAR file:
```
CaFeIr2
1.0
4.452 0.000 0.000
0.000 4.452 0.000
0.000 0.000 3.119
Ca Fe Ir
1 1 2
Cartesian
0.000 0.000 0.000 Ca
2.226 2.226 0.000 Fe
0.000 2.226 1.560 Ir
2.226 0.000 1.560 Ir
```

Results
E_tot = -42.4214 eV per atom
N(E_F) = 0.358 states/eV/atom
energy of formation from the pure elements = 7 kJ per mole of atoms


First-principles (meta-GGA SCAN) data for a PBEsol-optimized structure of ZnReAg4, as listed in Alexandria via LeMat-Bulk.

POSCAR file:
```
ZnReAg4
1.0
0.000 3.701 3.701
3.701 0.000 3.701
3.701 3.701 0.000
Zn Re Ag
1 1 4
Cartesian
0.000 0.000 0.000 Zn
1.851 1.851 1.851 Re
4.626 2.777 2.777 Ag
2.777 4.626 2.777 Ag
2.777 2.777 4.626 Ag
4.626 4.626 4.626 Ag
```

Results
E_tot = -34.1357 eV per atom
N(E_F) = 0.295 states/eV/atom
energy of formation from the pure elements = 85 kJ per mole of atoms


First-principles (meta-GGA SCAN) data for a PBEsol-optimized structure of SrRu2Cl, as listed in Alexandria via LeMat-Bulk.

POSCAR file:
```
SrRu2Cl
1.0
-1.852 2.843 4.053
1.852 -2.843 4.053
1.852 2.843 -4.053
Sr Ru Cl
1 2 1
Cartesian
0.000 0.000 0.000 Sr
1.852 0.000 2.739 Ru
0.000 0.000 4.099 Ru
0.000 2.843 1.739 Cl
```

Results
E_form (uncorrected) = 0.1843 eV per atom
E_tot = -24.7921 eV per atom
N(E_F) = 1.047 states/eV/atom


First-principles (meta-GGA SCAN) data for a PBEsol-optimized structure of MnHgAu2, as listed in Alexandria via LeMat-Bulk.

POSCAR file:
```
MnHgAu2
1.0
-2.077 2.077 3.957
2.077 -2.077 3.957
2.077 2.077 -3.957
Mn Hg Au
1 1 2
Cartesian
0.000 0.000 0.000 Mn
2.077 0.000 1.979 Hg
0.000 0.000 3.957 Au
0.000 2.077 1.979 Au
```

Results
E_tot = -56.3644 eV per atom
N(E_F) = 0.321 states/eV/atom
energy of formation from the pure elements = -17 kJ per mole of atoms